--- 1 ---
Below is an optimized crystal structure of CaCdOs3, with properties calculated at the GGA-PBE level.

Calculated values
- Space group: Pm-3m (221)

Cell and atoms, written as POSCAR:
```
CaCdOs3
1.0
-3.751 2.588 1.807
-0.859 -3.537 3.283
3.037 2.196 3.160
Ca Os Cd
1 3 1
Direct
0.500 0.500 0.500
0.000 0.500 0.000
0.000 0.000 0.500
0.500 0.000 0.000
0.000 0.000 0.000
```


--- 2 ---
Below is an optimized crystal structure of CaCdOs3, with properties calculated at the GGA-PBE level.

Calculated values
- Space group: Pm-3m (221)

Cell and atoms, written as POSCAR:
```
CaCdOs3
1.0
-0.554 1.185 4.529
-4.629 -0.821 -0.351
0.700 -4.488 1.260
Ca Os Cd
1 3 1
Direct
0.000 0.000 0.000
0.000 0.500 0.000
0.000 0.000 0.500
0.500 0.000 0.000
0.500 0.500 0.500
```


Stability verdict: 1, ahead by 0.536 eV/atom


--- 1 ---
Below is an optimized crystal structure of CaCd3Os, with properties calculated at the GGA-PBE level.

Calculated values
- Space group: Pm-3m (221)

Cell and atoms, written as POSCAR:
```
CaCd3Os
1.0
-2.794 -2.042 -3.874
-3.121 -2.295 3.461
-3.072 4.189 0.008
Ca Os Cd
1 1 3
Direct
0.500 0.500 0.500
0.000 0.000 0.000
0.000 0.500 0.000
0.000 0.000 0.500
0.500 0.000 0.000
```


--- 2 ---
Below is an optimized crystal structure of CaCd3Os, with properties calculated at the GGA-PBE level.

Calculated values
- Space group: Pm-3m (221)

Cell and atoms, written as POSCAR:
```
CaCd3Os
1.0
-3.840 4.182 -0.242
-3.676 -3.522 -2.526
-2.009 -1.550 5.085
Ca Os Cd
1 1 3
Direct
0.000 0.000 0.000
0.500 0.500 0.500
0.000 0.500 0.000
0.000 0.000 0.500
0.500 0.000 0.000
```


Stability verdict: 1, ahead by 1.445 eV/atom


--- 1 ---
Below is an optimized crystal structure of Ca3CdP, with properties calculated at the GGA-PBE level.

Calculated values
- Space group: Pnma (62)

Cell and atoms, written as POSCAR:
```
Ca3CdP
1.0
7.917 0.000 0.000
0.000 10.874 0.000
0.000 0.000 7.402
P Ca Cd
4 12 4
Direct
0.000 0.000 0.500
0.500 0.500 0.000
0.500 0.000 0.000
0.000 0.500 0.500
0.198 0.956 0.810
0.302 0.456 0.310
0.302 0.044 0.310
0.802 0.456 0.190
0.802 0.044 0.190
0.698 0.544 0.690
0.698 0.956 0.690
0.198 0.544 0.810
0.485 0.250 0.911
0.015 0.750 0.411
0.515 0.750 0.089
0.985 0.250 0.589
0.575 0.250 0.466
0.925 0.750 0.966
0.425 0.750 0.534
0.075 0.250 0.034
```


--- 2 ---
Below is an optimized crystal structure of Ca3CdP, with properties calculated at the GGA-PBE level.

Calculated values
- Space group: P4/mmm (123)

Cell and atoms, written as POSCAR:
```
Ca3CdP
1.0
-1.311 -2.562 2.864
7.217 0.474 3.729
-3.033 7.104 4.966
P Ca Cd
2 6 2
Direct
0.118 0.904 0.795
0.118 0.404 0.795
0.118 0.405 0.097
0.618 0.654 0.794
0.118 0.404 0.493
0.618 0.154 0.795
0.118 0.904 0.097
0.118 0.905 0.493
0.618 0.654 0.295
0.618 0.154 0.295
```


--- 3 ---
Below is an optimized crystal structure of Ca3CdP, with properties calculated at the GGA-PBE level.

Calculated values
- Space group: P6_3/mmc (194)

Cell and atoms, written as POSCAR:
```
Ca3CdP
1.0
-4.322 2.039 -0.822
2.125 -2.656 -3.456
-7.957 -14.383 6.161
P Ca Cd
2 6 2
Direct
0.333 0.667 0.750
0.667 0.333 0.250
0.000 0.000 0.250
0.000 0.000 0.750
0.333 0.667 0.907
0.333 0.667 0.593
0.667 0.333 0.407
0.667 0.333 0.093
0.000 0.000 0.000
0.000 0.000 0.500
```


Stability verdict: 2, ahead by 0.037 eV/atom